{"formula": "Th2Si4NiRh3", "functional": "PBE", "state": "optimized geometry", "energy_ev_per_cell": -74.29, "lattice": [[-2.418, -2.399, -2.407], [-1.469, -1.926, 3.395], [-7.252, 6.664, 0.642]], "species": ["Th", "Th", "Si", "Si", "Si", "Si", "Ni", "Rh", "Rh", "Rh"], "frac_coords": [[0.500, 0.000, 0.250], [0.000, 0.500, 0.750], [0.500, 0.500, 0.000], [0.000, 0.000, 0.000], [0.500, 0.000, 0.627], [0.000, 0.500, 0.373], [0.500, 0.500, 0.500], [0.000, 0.000, 0.500], [0.500, 0.000, 0.874], [0.000, 0.500, 0.126]]}

{"formula": "ZnRe3", "functional": "PBE", "state": "optimized geometry", "e_form_ev_per_fu": 0.97, "lattice": [[4.747, 0.000, 0.000], [0.000, 9.010, 0.000], [0.000, 0.000, 5.530]], "species": ["Re", "Re", "Re", "Re", "Re", "Re", "Re", "Re", "Re", "Re", "Re", "Re", "Zn", "Zn", "Zn", "Zn"], "frac_coords": [[0.895, 0.250, 0.866], [0.250, 0.998, 0.382], [0.250, 0.502, 0.382], [0.250, 0.498, 0.882], [0.250, 0.002, 0.882], [0.605, 0.750, 0.366], [0.395, 0.250, 0.634], [0.750, 0.998, 0.118], [0.750, 0.502, 0.118], [0.750, 0.498, 0.618], [0.750, 0.002, 0.618], [0.105, 0.750, 0.134], [0.097, 0.750, 0.636], [0.403, 0.250, 0.136], [0.597, 0.750, 0.864], [0.903, 0.250, 0.364]]}

{"formula": "PrSmDy2", "functional": "PBE", "state": "optimized geometry", "de_polymorph_mev_per_atom": 0, "e_form_ev_per_fu": -0.01, "lattice": [[3.623, 0.000, 0.000], [1.811, 3.137, 0.000], [0.000, 0.000, 11.629]], "species": ["Pr", "Sm", "Dy", "Dy"], "frac_coords": [[0.000, 0.000, 0.000], [0.000, 0.000, 0.500], [0.667, 0.667, 0.252], [0.333, 0.333, 0.748]]}

{"formula": "CdAg2Br", "functional": "PBE", "state": "optimized geometry", "de_polymorph_mev_per_atom": 106, "lattice": [[-2.592, -1.529, 1.659], [3.748, -4.550, 1.662], [1.069, 2.246, 3.739]], "species": ["Br", "Ag", "Ag", "Cd"], "frac_coords": [[0.500, 0.000, 0.500], [0.000, 0.000, 0.000], [0.500, 0.500, 0.000], [0.000, 0.500, 0.500]]}

{"formula": "TiBe2Tl", "functional": "PBE", "state": "optimized geometry", "de_polymorph_mev_per_atom": 201, "e_form_ev_per_fu": 2.68, "lattice": [[6.821, 0.000, 0.000], [0.000, 6.821, 0.000], [3.411, 3.411, 2.762]], "species": ["Be", "Be", "Be", "Be", "Tl", "Tl", "Ti", "Ti"], "frac_coords": [[0.630, 0.125, 0.250], [0.120, 0.625, 0.250], [0.375, 0.370, 0.750], [0.875, 0.880, 0.750], [0.000, 0.000, 0.000], [0.750, 0.250, 0.500], [0.500, 0.500, 0.000], [0.250, 0.750, 0.500]]}

{"formula": "KTcP2O8", "functional": "PBE", "state": "optimized geometry", "energy_ev_per_cell": -85.20, "lattice": [[4.914, 0.000, 0.000], [2.457, 4.256, 0.000], [2.457, 1.419, 8.549]], "species": ["K", "Tc", "P", "P", "O", "O", "O", "O", "O", "O", "O", "O"], "frac_coords": [[0.500, 0.500, 0.500], [0.000, 0.000, 0.000], [0.266, 0.266, 0.202], [0.734, 0.734, 0.798], [0.208, 0.208, 0.377], [0.605, 0.245, 0.134], [0.792, 0.792, 0.623], [0.016, 0.605, 0.134], [0.984, 0.395, 0.866], [0.245, 0.016, 0.134], [0.755, 0.984, 0.866], [0.395, 0.755, 0.866]]}

Number 1: N(E_F) 7.898 states/eV/f.u.. Number 2: N(E_F) 2.827 states/eV/f.u.. Number 3: N(E_F) 4.806 states/eV/f.u.. Number 4: N(E_F) 0.319 states/eV/f.u.. Number 5: N(E_F) 3.270 states/eV/f.u.. Number 6: N(E_F) 3.200 states/eV/f.u..